Record 1
Below is crystalline TbUCl6 at its relaxed geometry, with properties calculated at the PBE level.

Output
symmetry = R-3 (148)
raw formation energy = -1.946 eV per atom
density = 3.959 g/cm³
total magnetic moment = 0.375 μB per atom

Cell lengths 7.417, 7.417, 7.417 Å; angles 55.11, 55.11, 55.11 degrees
Positions (direct):
Tb (0.000, 0.000, 0.000)
U (0.500, 0.500, 0.500)
Cl (0.098, 0.392, 0.756)
Cl (0.244, 0.902, 0.608)
Cl (0.392, 0.756, 0.098)
Cl (0.608, 0.244, 0.902)
Cl (0.756, 0.098, 0.392)
Cl (0.902, 0.608, 0.244)


Record 2
Below is crystalline Sn2AsBr at its relaxed geometry, with properties calculated at the PBE level.

Output
symmetry = R3m (160)
raw formation energy = -0.261 eV per atom
density = 5.304 g/cm³
total magnetic moment = 0.000 μB per atom

Cell lengths 8.316, 8.316, 8.316 Å; angles 29.42, 29.42, 29.42 degrees
Positions (direct):
Sn (0.000, 0.000, 0.000)
Sn (0.199, 0.199, 0.199)
As (0.595, 0.595, 0.595)
Br (0.411, 0.411, 0.411)


Record 3
Below is crystalline Sr2HgC2 at its relaxed geometry, with properties calculated at the PBE level.

Output
symmetry = P4/mbm (127)
density = 6.081 g/cm³
total magnetic moment = 0.000 μB per atom
uncorrected energy = -4.392 eV per atom

Cell lengths 7.664, 7.664, 3.717 Å; angles 90.00, 90.00, 90.00 degrees
Positions (direct):
Sr (0.220, 0.280, 0.000)
Sr (0.280, 0.780, 0.000)
Sr (0.720, 0.220, 0.000)
Sr (0.780, 0.720, 0.000)
Hg (0.000, 0.000, 0.500)
Hg (0.500, 0.500, 0.500)
C (0.060, 0.560, 0.500)
C (0.440, 0.060, 0.500)
C (0.560, 0.940, 0.500)
C (0.940, 0.440, 0.500)


Record 4
Below is crystalline MnCdFe2 at its relaxed geometry, with properties calculated at the PBE level.

Output
symmetry = Imm2 (44)
density = 8.090 g/cm³
total magnetic moment = 2.030 μB per atom
uncorrected energy = -6.407 eV per atom

Cell lengths 4.974, 4.974, 4.974 Å; angles 142.99, 128.41, 65.17 degrees
Positions (direct):
Mn (0.000, 0.000, 0.000)
Cd (0.269, 0.769, 0.500)
Fe (0.533, 0.533, 0.000)
Fe (0.748, 0.248, 0.500)


Record 5
Below is crystalline CrTc2RuN at its relaxed geometry, with properties calculated at the PBE level.

Output
symmetry = P4/mmm (123)
raw formation energy = 0.000 eV per atom
density = 9.659 g/cm³
total magnetic moment = 0.170 μB per atom

Cell lengths 4.017, 4.017, 3.868 Å; angles 90.00, 90.00, 90.00 degrees
Positions (direct):
Cr (0.000, 0.000, 0.000)
Tc (0.000, 0.500, 0.500)
Tc (0.500, 0.000, 0.500)
Ru (0.500, 0.500, 0.000)
N (0.000, 0.000, 0.500)


Record 6
Below is crystalline ZnTe2IO at its relaxed geometry, with properties calculated at the PBE level.

Output
symmetry = P4/mmm (123)
raw formation energy = 0.327 eV per atom
density = 6.408 g/cm³
total magnetic moment = 0.000 μB per atom

Cell lengths 4.835, 4.835, 5.137 Å; angles 90.00, 90.00, 90.00 degrees
Positions (direct):
Zn (0.000, 0.000, 0.000)
Te (0.000, 0.500, 0.500)
Te (0.500, 0.000, 0.500)
I (0.500, 0.500, 0.000)
O (0.500, 0.500, 0.500)


Record 7
Below is crystalline NiB at its relaxed geometry, with properties calculated at the PBE level.

Output
symmetry = Pm-3n (223)
density = 4.327 g/cm³
total magnetic moment = 0.000 μB per atom
uncorrected energy = -5.654 eV per atom

Cell lengths 5.429, 5.429, 5.429 Å; angles 90.00, 90.00, 90.00 degrees
Positions (direct):
Ni (0.000, 0.250, 0.500)
Ni (0.000, 0.750, 0.500)
Ni (0.250, 0.500, 0.000)
Ni (0.500, 0.000, 0.250)
Ni (0.500, 0.000, 0.750)
Ni (0.750, 0.500, 0.000)
B (0.000, 0.500, 0.250)
B (0.000, 0.500, 0.750)
B (0.250, 0.000, 0.500)
B (0.500, 0.250, 0.000)
B (0.500, 0.750, 0.000)
B (0.750, 0.000, 0.500)


Record 8
Below is crystalline Ca2NbTe4 at its relaxed geometry, with properties calculated at the PBE level.

Output
symmetry = I4/mmm (139)
raw formation energy = -0.694 eV per atom
density = 4.815 g/cm³
total magnetic moment = 0.060 μB per atom

Cell lengths 8.786, 8.786, 8.786 Å; angles 143.76, 143.76, 52.19 degrees
Positions (direct):
Ca (0.129, 0.129, 0.000)
Ca (0.871, 0.871, 0.000)
Nb (0.500, 0.500, 0.000)
Te (0.000, 0.500, 0.500)
Te (0.321, 0.321, 0.000)
Te (0.500, 0.000, 0.500)
Te (0.679, 0.679, 0.000)


Record 9
Below is crystalline Ag3IrOs at its relaxed geometry, with properties calculated at the PBE level.

Output
symmetry = Pm-3m (221)
density = 9.504 g/cm³
total magnetic moment = 0.850 μB per atom
uncorrected energy = -3.532 eV per atom

Cell lengths 4.978, 4.978, 4.978 Å; angles 90.00, 90.00, 90.00 degrees
Positions (direct):
Ag (0.000, 0.000, 0.500)
Ag (0.000, 0.500, 0.000)
Ag (0.500, 0.000, 0.000)
Ir (0.000, 0.000, 0.000)
Os (0.500, 0.500, 0.500)


Record 10
Below is crystalline Ca2CuSn3Pt4 at its relaxed geometry, with properties calculated at the PBE level.

Output
symmetry = P-4m2 (115)
density = 10.028 g/cm³
total magnetic moment = 0.000 μB per atom
uncorrected energy = -5.102 eV per atom

Cell lengths 4.178, 4.178, 12.143 Å; angles 90.00, 90.00, 90.00 degrees
Positions (direct):
Ca (0.000, 0.500, 0.226)
Ca (0.500, 0.000, 0.774)
Cu (0.500, 0.500, 0.000)
Sn (0.000, 0.000, 0.000)
Sn (0.000, 0.500, 0.640)
Sn (0.500, 0.000, 0.360)
Pt (0.000, 0.000, 0.500)
Pt (0.000, 0.500, 0.857)
Pt (0.500, 0.000, 0.143)
Pt (0.500, 0.500, 0.500)


Record 11
Below is crystalline Os3Pt5 at its relaxed geometry, with properties calculated at the PBE level.

Output
symmetry = C2/m (12)
density = 20.436 g/cm³
total magnetic moment = 0.000 μB per atom
uncorrected energy = -7.593 eV per atom

Cell lengths 7.506, 7.506, 7.436 Å; angles 96.62, 96.62, 140.37 degrees
Positions (direct):
Os (0.166, 0.834, 0.000)
Os (0.262, 0.738, 0.500)
Os (0.445, 0.445, 0.657)
Os (0.555, 0.555, 0.343)
Os (0.738, 0.262, 0.500)
Os (0.834, 0.166, 0.000)
Pt (0.020, 0.218, 0.360)
Pt (0.218, 0.020, 0.360)
Pt (0.232, 0.573, 0.809)
Pt (0.233, 0.233, 0.967)
Pt (0.427, 0.768, 0.191)
Pt (0.573, 0.232, 0.809)
Pt (0.767, 0.767, 0.033)
Pt (0.768, 0.427, 0.191)
Pt (0.782, 0.980, 0.640)
Pt (0.980, 0.782, 0.640)


Record 12
Below is crystalline RbBPb at its relaxed geometry, with properties calculated at the PBE level.

Output
symmetry = C2/m (12)
density = 5.729 g/cm³
total magnetic moment = 0.000 μB per atom
uncorrected energy = -3.529 eV per atom

Cell lengths 7.553, 7.553, 7.270 Å; angles 93.12, 93.12, 25.14 degrees
Positions (direct):
Rb (0.125, 0.125, 0.154)
Rb (0.875, 0.875, 0.846)
B (0.258, 0.258, 0.500)
B (0.742, 0.742, 0.500)
Pb (0.410, 0.410, 0.357)
Pb (0.590, 0.590, 0.643)


Question: Among the records above, which one has the lowest density?
Answer: TbUCl6


Question: What is the total magnetic moment in the ninth record?
Answer: 0.850 μB per atom


Copy entry 2 word for word.
Below is crystalline Sn2AsBr at its relaxed geometry, with properties calculated at the PBE level.

Output
symmetry = R3m (160)
raw formation energy = -0.261 eV per atom
density = 5.304 g/cm³
total magnetic moment = 0.000 μB per atom

Cell lengths 8.316, 8.316, 8.316 Å; angles 29.42, 29.42, 29.42 degrees
Positions (direct):
Sn (0.000, 0.000, 0.000)
Sn (0.199, 0.199, 0.199)
As (0.595, 0.595, 0.595)
Br (0.411, 0.411, 0.411)